Record 1
Material: BeTeP3
Method: DFT, PBE
State: relaxed

Lattice parameters (Å, degrees): 4.3894 4.3894 4.3894 90.00 90.00 90.00
With the nearest neighbours (Å) after each atom.
Space group Pm-3m (No. 221)
Asymmetric unit:
Be 0.0000 0.0000 0.0000 (multiplicity 1)  6 P 2.19
Te 0.5000 0.5000 0.5000 (multiplicity 1)  12 P 3.10
P 0.0000 0.0000 0.5000 (multiplicity 3)  2 Be 2.19

The calculation puts the density of states at the Fermi level at 3.2 states/eV/cell. The value obtained for the total energy is -3.964 eV per atom. Its density is 4.51 g/cm3. For the energy relative to the elements, uncorrected, the calculation gives 0.66 eV/atom. For the polymorph energy (0 for the lowest one), the calculation gives 0 meV/atom.

Record 2
Material: BeTeP
Method: DFT, PBE
State: relaxed

Lattice parameters (Å, degrees): 3.9700 6.3183 6.5715 82.57 75.05 79.18
With the nearest neighbours (Å) after each atom.
Space group P-1 (No. 2)
Asymmetric unit:
Be 0.0567 0.1889 0.0822 (multiplicity 2)  2 P 2.16-2.17
Te 0.0636 0.8298 0.2697 (multiplicity 2)  2 Be 2.44-2.50, 1 P 2.54
P 0.4738 0.6718 0.9408 (multiplicity 2)  2 Be 2.16-2.17, 1 P 2.20

The value obtained for the total energy is -4.162 eV per atom. Its density is 3.57 g/cm3. For the energy relative to the elements, uncorrected, the calculation gives -0.07 eV/atom.

Record 3
Material: BeTeP3
Method: DFT, PBE
State: relaxed

Lattice parameters (Å, degrees): 5.0373 5.0373 5.0373 90.00 90.00 90.00
With the nearest neighbours (Å) after each atom.
Space group Pm-3m (No. 221)
Asymmetric unit:
Be 0.0000 0.0000 0.0000 (multiplicity 1)  12 P 3.56
Te 0.5000 0.5000 0.5000 (multiplicity 1)  6 P 2.52
P 0.0000 0.5000 0.5000 (multiplicity 3)  2 Te 2.52

The calculation puts the density of states at the Fermi level at 6.7 states/eV/cell. The value obtained for the total energy is -2.867 eV per atom. Its density is 2.98 g/cm3. For the energy relative to the elements, uncorrected, the calculation gives 1.75 eV/atom. For the polymorph energy (0 for the lowest one), the calculation gives 1097 meV/atom.

Record 4
Material: BeTeP2
Method: DFT, PBE
State: relaxed

Lattice parameters (Å, degrees): 3.4091 3.4091 8.6674 90.00 90.00 90.00
With the nearest neighbours (Å) after each atom.
Space group P4/mmm (No. 123)
Asymmetric unit:
Be 0.0000 0.0000 0.0000 (multiplicity 1)  4 Te 2.41
Te 0.5000 0.5000 0.0000 (multiplicity 1)  4 Be 2.41
P 0.0000 0.5000 0.5000 (multiplicity 2)  4 P 2.41

The calculation puts the density of states at the Fermi level at 2.5 states/eV/cell. The value obtained for the total energy is -3.866 eV per atom. Its density is 3.27 g/cm3. For the energy relative to the elements, uncorrected, the calculation gives 0.56 eV/atom. For the polymorph energy (0 for the lowest one), the calculation gives 402 meV/atom.

Among the records above, which one has the highest density? number 1